# La3PrPd12

A geometry-optimized La3PrPd12 structure (GGA-PBE, the Alexandria database).

The structure in POSCAR format:
```
La3PrPd12
1.0
4.227 0.000 0.000
0.000 4.227 0.000
0.000 0.000 16.931
La Pr Pd
3 1 12
Direct
0.000 0.000 0.000
0.000 0.000 0.251
0.000 0.000 0.749
0.000 0.000 0.500
0.000 0.500 0.125
0.000 0.500 0.375
0.000 0.500 0.625
0.000 0.500 0.875
0.500 0.000 0.125
0.500 0.000 0.375
0.500 0.000 0.625
0.500 0.000 0.875
0.500 0.500 0.000
0.500 0.500 0.250
0.500 0.500 0.500
0.500 0.500 0.750
```

**Mass density**: 10.1 g/cm³
**Formation energy**: -0.783 eV per atom
**Magnetization**: 0.00 μB per formula unit
**Volume**: 18.9 Å³/atom
**DFT total energy**: -94.410 eV per cell